Entry 1:
DFT (SCAN) results for a crystal of CaZr2ScTe relaxed with PBEsol.

Cell and atoms, written as POSCAR:
```
CaZr2ScTe
1.0
4.930 0.000 0.000
0.000 4.930 0.000
0.000 0.000 5.396
Sc Zr Te Ca
1 2 1 1
Direct
0.500 0.500 0.500
0.500 0.000 0.000
0.000 0.500 0.000
0.000 0.000 0.500
0.000 0.000 0.000
```

Output
E_form (uncorrected): 1.135 eV per atom
total magnetization: 0.00 μB per formula unit
V: 26.23 Å³ per atom

=====

Entry 2:
DFT (SCAN) results for a crystal of CaSc2Tl relaxed with PBEsol.

Cell and atoms, written as POSCAR:
```
CaSc2Tl
1.0
4.528 0.000 0.000
0.000 4.528 0.000
-2.264 -2.264 4.782
Ca Sc Tl
1 2 1
Direct
0.250 0.750 0.500
0.000 0.000 0.000
0.750 0.250 0.500
0.500 0.500 0.000
```

Output
total magnetization: 0.91 μB per formula unit
ΔE_f: -0.16 eV/atom
V: 24.51 Å³ per atom

=====

Repeat the second record exactly.
DFT (SCAN) results for a crystal of CaSc2Tl relaxed with PBEsol.

Cell and atoms, written as POSCAR:
```
CaSc2Tl
1.0
4.528 0.000 0.000
0.000 4.528 0.000
-2.264 -2.264 4.782
Ca Sc Tl
1 2 1
Direct
0.250 0.750 0.500
0.000 0.000 0.000
0.750 0.250 0.500
0.500 0.500 0.000
```

Output
total magnetization: 0.91 μB per formula unit
ΔE_f: -0.16 eV/atom
V: 24.51 Å³ per atom

=====

- total magnetization of number 1 (CaZr2ScTe)?
  0.00 μB per formula unit

=====

Copy entry 2 word for word.
DFT (SCAN) results for a crystal of CaSc2Tl relaxed with PBEsol.

Cell and atoms, written as POSCAR:
```
CaSc2Tl
1.0
4.528 0.000 0.000
0.000 4.528 0.000
-2.264 -2.264 4.782
Ca Sc Tl
1 2 1
Direct
0.250 0.750 0.500
0.000 0.000 0.000
0.750 0.250 0.500
0.500 0.500 0.000
```

Output
total magnetization: 0.91 μB per formula unit
ΔE_f: -0.16 eV/atom
V: 24.51 Å³ per atom